Computed, not measured: crystalline BaMoNF2 at its relaxed geometry at the PBE with a Hubbard U level of DFT. Values from VASP.

Summary:
ΔE to the lowest computed polymorph = 1.106 eV/atom
Total moment = 4.0 μB/f.u.

Structure (Quantum ESPRESSO input):
```
&SYSTEM
  ibrav = 0, nat = 5, ntyp = 4
/
ATOMIC_SPECIES
Mo 95.94 Mo.upf
F 19.00 F.upf
Ba 137.33 Ba.upf
N 14.01 N.upf
CELL_PARAMETERS angstrom
-2.597 0.118 -4.140
3.775 -1.942 -2.424
-1.727 -4.547 0.953
ATOMIC_POSITIONS crystal
Mo 0.500 0.500 0.500
F 0.500 0.000 0.000
F 0.000 0.500 0.000
Ba 0.000 0.000 0.000
N 0.000 0.000 0.500
```